DFT (GGA-PBE) results for a relaxed structure of TiZn2Hg2.

Unit cell a=7.7594 b=7.7594 c=3.1714 alpha=90.00 beta=90.00 gamma=90.00
Space group P4/mbm (No. 127)
Inequivalent atoms, fractional coordinates:
Ti  0.0000  0.0000  0.0000
Zn  0.1679  0.3321  0.5000
Hg  0.1363  0.6363  0.0000

Output
crystal system	tetragonal
distance to the lowest polymorph of the same formula	58	meV/atom
calculated total energy	-1.975	eV/atom
ΔH_f (0 K)	1.2	eV per formula unit